Run A
# YMgMn3, relaxed, DFT PBE-GGA
data_YMgMn3
_chemical_formula_sum 'Y1 Mg1 Mn3'
_cell_length_a 4.7643
_cell_length_b 4.7643
_cell_length_c 4.7643
_cell_angle_alpha 90.00
_cell_angle_beta 90.00
_cell_angle_gamma 90.00
_space_group_name_H-M_alt 'P 1'
_space_group_IT_number 1
loop_
_space_group_symop_operation_xyz
'x,y,z'
loop_
_atom_site_label
_atom_site_fract_x
_atom_site_fract_y
_atom_site_fract_z
Y1 0.0000 0.0000 0.0000
Mg1 0.5000 0.5000 0.5000
Mn1 0.0000 0.5000 0.5000
Mn2 0.5000 0.0000 0.5000
Mn3 0.5000 0.5000 0.0000
# - Total magnetic moment: 10.52 μB/cell
# - Mass density: 4.3 Mg/m³
# - Space-group type: Pm-3m

---

Run B
# YMgMn3, relaxed, DFT PBE-GGA
data_YMgMn3
_chemical_formula_sum 'Y1 Mg1 Mn3'
_cell_length_a 4.9616
_cell_length_b 4.9616
_cell_length_c 4.9616
_cell_angle_alpha 90.00
_cell_angle_beta 90.00
_cell_angle_gamma 90.00
_space_group_name_H-M_alt 'P 1'
_space_group_IT_number 1
loop_
_space_group_symop_operation_xyz
'x,y,z'
loop_
_atom_site_label
_atom_site_fract_x
_atom_site_fract_y
_atom_site_fract_z
Y1 0.0000 0.0000 0.0000
Mg1 0.5000 0.5000 0.5000
Mn1 0.0000 0.0000 0.5000
Mn2 0.0000 0.5000 0.0000
Mn3 0.5000 0.0000 0.0000
# - Total magnetic moment: 10.36 μB/cell
# - Mass density: 3.8 Mg/m³
# - Space-group type: Pm-3m

---

Most stable: run A. Least stable: run B.

---

Run A
# Mg2ZrMn2, relaxed, DFT PBE-GGA
data_Mg2ZrMn2
_chemical_formula_sum 'Mg4 Zr2 Mn4'
_cell_length_a 7.5905
_cell_length_b 7.5905
_cell_length_c 3.1707
_cell_angle_alpha 90.00
_cell_angle_beta 90.00
_cell_angle_gamma 90.00
_space_group_name_H-M_alt 'P 1'
_space_group_IT_number 1
loop_
_space_group_symop_operation_xyz
'x,y,z'
loop_
_atom_site_label
_atom_site_fract_x
_atom_site_fract_y
_atom_site_fract_z
Mg1 0.1567 0.3433 0.0000
Mg2 0.3433 0.8433 0.0000
Mg3 0.6567 0.1567 0.0000
Mg4 0.8433 0.6567 0.0000
Zr1 0.0000 0.0000 0.5000
Zr2 0.5000 0.5000 0.5000
Mn1 0.1395 0.6395 0.5000
Mn2 0.3605 0.1395 0.5000
Mn3 0.6395 0.8605 0.5000
Mn4 0.8605 0.3605 0.5000
# - Total magnetic moment: 11.01 μB/cell
# - Mass density: 4.5 Mg/m³
# - Space-group type: P4/mbm

---

Run B
# Mg2ZrMn2, relaxed, DFT PBE-GGA
data_Mg2ZrMn2
_chemical_formula_sum 'Mg2 Zr1 Mn2'
_cell_length_a 6.3338
_cell_length_b 6.3338
_cell_length_c 6.3338
_cell_angle_alpha 143.46
_cell_angle_beta 143.46
_cell_angle_gamma 52.63
_space_group_name_H-M_alt 'P 1'
_space_group_IT_number 1
loop_
_space_group_symop_operation_xyz
'x,y,z'
loop_
_atom_site_label
_atom_site_fract_x
_atom_site_fract_y
_atom_site_fract_z
Mg1 0.2500 0.7500 0.5000
Mg2 0.7500 0.2500 0.5000
Zr1 0.0000 0.0000 0.0000
Mn1 0.4114 0.4114 0.0000
Mn2 0.5886 0.5886 0.0000
# - Total magnetic moment: 2.85 μB/cell
# - Mass density: 4.6 Mg/m³
# - Space-group type: I4/mmm

---

Most stable: run A. Least stable: run B.

---

Run A
# Mg14ZrMn, relaxed, DFT PBE-GGA
data_Mg14ZrMn
_chemical_formula_sum 'Mg14 Zr1 Mn1'
_cell_length_a 10.1823
_cell_length_b 6.3656
_cell_length_c 6.3656
_cell_angle_alpha 58.98
_cell_angle_beta 90.00
_cell_angle_gamma 90.00
_space_group_name_H-M_alt 'P 1'
_space_group_IT_number 1
loop_
_space_group_symop_operation_xyz
'x,y,z'
loop_
_atom_site_label
_atom_site_fract_x
_atom_site_fract_y
_atom_site_fract_z
Mg1 0.0000 0.0000 0.0000
Mg2 0.0000 0.0020 0.4977
Mg3 0.0000 0.4977 0.0020
Mg4 0.0000 0.4993 0.4993
Mg5 0.2497 0.6643 0.6643
Mg6 0.2577 0.1671 0.6679
Mg7 0.2577 0.6679 0.1671
Mg8 0.2647 0.1595 0.1595
Mg9 0.5000 0.9998 0.5108
Mg10 0.5000 0.5108 0.9998
Mg11 0.7353 0.1595 0.1595
Mg12 0.7423 0.1671 0.6679
Mg13 0.7423 0.6679 0.1671
Mg14 0.7503 0.6643 0.6643
Zr1 0.5000 0.5060 0.5060
Mn1 0.5000 0.9961 0.9961
# - Total magnetic moment: 3.35 μB/cell
# - Mass density: 2.3 Mg/m³
# - Space-group type: Amm2

---

Run B
# Mg14ZrMn, relaxed, DFT PBE-GGA
data_Mg14ZrMn
_chemical_formula_sum 'Mg14 Zr1 Mn1'
_cell_length_a 6.3711
_cell_length_b 6.3711
_cell_length_c 10.0628
_cell_angle_alpha 90.00
_cell_angle_beta 90.00
_cell_angle_gamma 120.00
_space_group_name_H-M_alt 'P 1'
_space_group_IT_number 1
loop_
_space_group_symop_operation_xyz
'x,y,z'
loop_
_atom_site_label
_atom_site_fract_x
_atom_site_fract_y
_atom_site_fract_z
Mg1 0.0000 0.0000 0.2419
Mg2 0.0000 0.0000 0.7581
Mg3 0.0102 0.5051 0.2544
Mg4 0.0102 0.5051 0.7456
Mg5 0.3308 0.1654 0.5000
Mg6 0.3422 0.1711 0.0000
Mg7 0.4949 0.5051 0.2544
Mg8 0.4949 0.5051 0.7456
Mg9 0.4949 0.9898 0.2544
Mg10 0.4949 0.9898 0.7456
Mg11 0.8289 0.1711 0.0000
Mg12 0.8289 0.6577 0.0000
Mg13 0.8346 0.1654 0.5000
Mg14 0.8346 0.6692 0.5000
Zr1 0.3333 0.6667 0.0000
Mn1 0.3333 0.6667 0.5000
# - Total magnetic moment: 4.14 μB/cell
# - Mass density: 2.3 Mg/m³
# - Space-group type: P-6m2

---

Most stable: run A. Least stable: run B.